Ce2PuGa2Ru5 | Alexandria | PBE | optimized geometry; ΔE_f = -327 meV/atom; D(E_F) = 27.37 states/eV/cell; total moment = 4.08 μB/f.u.
1.0
-2.3630 -1.4436 -2.2447
7.2193 -1.0873 -6.9008
2.1100 -9.1207 3.6445
Ce Pu Ga Ru
4 2 4 10
Cartesian
5.1970 -2.2805 -4.0044 Ce
4.1323 -7.9275 0.7481 Ce
1.9243 -3.1935 0.0280 Ce
7.4050 -7.0145 -3.2843 Ce
0.0000 0.0000 0.0000 Pu
4.6646 -5.1040 -1.6282 Pu
2.2295 -5.8454 1.4123 Ga
7.0998 -4.3626 -4.6686 Ga
6.3628 -8.6530 -1.1335 Ga
2.9664 -1.5550 -2.1229 Ga
0.4403 -1.5978 -2.2663 Ru
6.5260 -10.0538 -3.2347 Ru
1.0168 -8.0629 1.2847 Ru
4.8021 -5.3927 -4.4175 Ru
5.9494 -3.5887 -6.7856 Ru
2.1642 -6.2589 -1.0835 Ru
4.4309 -7.7614 -2.5034 Ru
2.5353 -3.8902 -2.9975 Ru
2.4281 -1.2654 -4.5727 Ru
-0.1265 -5.2821 0.6999 Ru


CePuScGa | Alexandria | PBE | optimized geometry; ΔE_f = -134 meV/atom; D(E_F) = 9.43 states/eV/cell; total moment = 7.36 μB/f.u.
1.0
5.0096 0.0000 0.0000
2.5048 4.3384 0.0000
2.5048 1.4461 4.0903
Sc Ga Ce Pu
1 1 1 1
Cartesian
2.5048 1.4461 1.0226 Sc
0.0000 0.0000 0.0000 Ga
5.0096 2.8923 2.0452 Ce
7.5144 4.3384 3.0677 Pu


Ce2Pu2GaSi4 | Alexandria | PBE | optimized geometry; D(E_F) = 19.13 states/eV/cell; uncorrected formation energy = -121 kJ/mol of formula units; total moment = 13.16 μB/f.u.
1.0
6.4653 0.1504 0.2170
-2.9715 5.7439 -0.2170
-2.9715 -2.2213 5.3015
Ce Pu Ga Si
2 2 1 4
Cartesian
0.2611 3.8278 1.2711 Ce
0.2611 -0.1548 4.0304 Ce
-4.0151 2.3799 3.4350 Pu
-1.9280 1.1428 1.6494 Pu
0.0000 0.0000 0.0000 Ga
-2.9715 3.7748 1.1472 Si
-1.2052 2.7278 3.9372 Si
-2.9715 -0.2521 3.9372 Si
1.7275 0.9452 1.3643 Si


CePu2Ga2Si2 | Alexandria | PBE | optimized geometry; D(E_F) = 6.72 states/eV/cell; uncorrected formation energy = -176 kJ/mol of formula units; total moment = 0.00 μB/f.u.
1.0
-1.4950 3.3250 1.6296
0.6389 0.7928 3.8612
7.5573 6.0006 -0.4176
Ce Pu Ga Si
1 2 2 2
Cartesian
0.0000 0.0000 0.0000 Ce
4.0227 3.9148 0.5955 Pu
2.6785 6.2036 4.4777 Pu
1.0400 3.6957 3.1989 Ga
5.6612 6.4227 1.8743 Ga
5.0575 7.6074 3.7958 Si
1.6437 2.5109 1.2773 Si


Ce3Pu3Ga2Si | Alexandria | PBE | optimized geometry; D(E_F) = 19.71 states/eV/cell; uncorrected formation energy = -237 kJ/mol of formula units; total moment = 20.46 μB/f.u.
1.0
3.6000 0.0000 0.0000
0.0000 8.3816 0.0000
0.0000 -4.1908 7.2587
Ce Pu Ga Si
3 3 2 1
Cartesian
1.8000 6.0495 0.0000 Ce
1.8000 -3.0248 5.2390 Ce
1.8000 1.1660 2.0196 Ce
0.0000 2.6461 4.5831 Pu
0.0000 -1.5447 2.6755 Pu
0.0000 3.0894 0.0000 Pu
1.8000 4.1908 2.4196 Ga
1.8000 0.0000 4.8391 Ga
0.0000 0.0000 0.0000 Si


CeSmPuGa | Alexandria | PBE | optimized geometry; ΔE_f = -67 meV/atom; D(E_F) = 9.98 states/eV/cell; total moment = 7.80 μB/f.u.
1.0
5.1843 0.0000 0.0000
2.5922 4.4898 0.0000
2.5922 1.4966 4.2330
Ga Ce Sm Pu
1 1 1 1
Cartesian
2.5922 1.4966 1.0582 Ga
7.7765 4.4898 3.1747 Ce
5.1843 2.9932 2.1165 Sm
0.0000 0.0000 0.0000 Pu


CePuGaSn | Alexandria | PBE | optimized geometry; ΔE_f = -349 meV/atom; D(E_F) = 14.59 states/eV/cell; ΔE to the lowest computed polymorph = 94.4 meV/atom; total moment = 6.57 μB/f.u.
1.0
-4.1974 3.1829 0.0480
-4.8344 -2.0238 0.5336
-2.6893 0.7457 4.4681
Ga Sn Ce Pu
1 1 1 1
Cartesian
-8.7908 1.4286 3.7872 Ga
-2.9303 0.4762 1.2624 Sn
-5.8605 0.9524 2.5248 Ce
0.0000 0.0000 0.0000 Pu


CePuGaSn | Alexandria | PBE | optimized geometry; ΔE_f = -443 meV/atom; D(E_F) = 10.30 states/eV/cell; ΔE to the lowest computed polymorph = 0.0 meV/atom; total moment = 6.84 μB/f.u.
1.0
-1.7061 -4.2089 1.0460
2.2582 0.0964 4.0713
-3.6254 1.9579 1.9645
Ce Pu Ga Sn
1 1 1 1
Cartesian
0.2760 -2.0562 2.5586 Ce
0.0000 0.0000 0.0000 Pu
-0.6836 1.0271 3.0179 Ga
-2.6658 -1.1255 1.5053 Sn


CePuTiGa | Alexandria | PBE | optimized geometry; ΔE_f = -128 meV/atom; D(E_F) = 8.44 states/eV/cell; total moment = 8.41 μB/f.u.
1.0
-3.3154 -3.1280 -1.8785
1.3205 -4.6185 -1.1093
-1.6606 -3.7599 2.7223
Ti Ga Ce Pu
1 1 1 1
Cartesian
0.0000 0.0000 0.0000 Ti
-2.7416 -8.6298 -0.1992 Ga
-1.8278 -5.7532 -0.1328 Ce
-0.9139 -2.8766 -0.0664 Pu


CeTmPuGa | Alexandria | PBE | optimized geometry; ΔE_f = -78 meV/atom; D(E_F) = 9.73 states/eV/cell; total moment = 7.69 μB/f.u.
1.0
-2.2166 2.4422 3.9177
-1.8422 -2.6650 3.9662
2.3525 0.2155 4.5437
Tm Ga Ce Pu
1 1 1 1
Cartesian
-0.8531 -0.0036 6.2138 Tm
-0.4266 -0.0018 3.1069 Ga
-1.2797 -0.0055 9.3207 Ce
0.0000 0.0000 0.0000 Pu


CePuUGa | Alexandria | PBE | optimized geometry; ΔE_f = 50 meV/atom; D(E_F) = 8.67 states/eV/cell; total moment = 9.09 μB/f.u.
1.0
-0.7448 0.0382 -4.9659
-0.0972 -4.3203 -2.5577
-4.3271 -1.6944 -1.9030
U Ga Ce Pu
1 1 1 1
Cartesian
0.0000 0.0000 0.0000 U
-2.5845 -2.9883 -4.7133 Ga
-1.2923 -1.4941 -2.3566 Ce
-3.8768 -4.4824 -7.0699 Pu


Ce2PuZn2Ga2 | Alexandria | PBE | optimized geometry; ΔE_f = -284 meV/atom; D(E_F) = 19.65 states/eV/cell; total moment = 7.27 μB/f.u.
1.0
4.3747 0.0000 0.0000
2.1874 3.7886 0.0000
2.1874 1.2629 9.0165
Ce Pu Zn Ga
2 1 2 2
Cartesian
2.1874 1.2629 5.1997 Ce
6.5621 3.7886 3.8168 Ce
0.0000 0.0000 0.0000 Pu
4.3747 2.5257 1.9055 Zn
4.3747 2.5257 7.1110 Zn
6.5621 3.7886 7.1276 Ga
2.1874 1.2629 1.8889 Ga


CePu2Zn2Ga2 | Alexandria | PBE | optimized geometry; ΔE_f = -121 meV/atom; D(E_F) = 12.51 states/eV/cell; total moment = 0.69 μB/f.u.
1.0
-2.9995 2.4937 -1.2268
-3.8338 -0.6322 1.2739
-0.7420 6.0728 7.3434
Ce Pu Zn Ga
1 2 2 2
Cartesian
0.0000 0.0000 0.0000 Ce
-1.4448 3.5776 3.9900 Pu
-6.1304 4.3566 3.4005 Pu
-4.1691 2.6128 1.8751 Zn
-3.4061 5.3215 5.5155 Zn
-5.6314 6.1284 5.7817 Ga
-1.9439 1.8058 1.6088 Ga


CePuZrGa | Alexandria | PBE | optimized geometry; ΔE_f = -142 meV/atom; D(E_F) = 13.88 states/eV/cell; total moment = 7.49 μB/f.u.
1.0
5.0475 0.0000 0.0000
2.5237 4.3712 0.0000
2.5237 1.4571 4.1212
Ga Zr Ce Pu
1 1 1 1
Cartesian
2.5237 1.4571 1.0303 Ga
0.0000 0.0000 0.0000 Zr
5.0475 2.9142 2.0606 Ce
7.5712 4.3712 3.0909 Pu


RbCeGaS4 | Alexandria | PBE | optimized geometry; uncorrected formation energy = -890 kJ/mol of formula units; total moment = 0.15 μB/f.u.
1.0
-3.6858 0.9852 -5.3177
1.2858 -6.2020 -2.0403
-5.3769 -3.3109 6.6759
Rb Ce Ga S
2 2 2 8
Cartesian
-6.8280 -7.0418 0.8249 Rb
-0.9488 -1.4859 -1.5070 Rb
-4.2683 -5.3740 -2.6316 Ce
-3.5086 -3.1537 1.9495 Ce
-1.6726 -5.5347 -0.5073 Ga
-6.1043 -2.9930 -0.1748 Ga
-3.1439 -5.4579 3.5484 S
-5.2510 -0.0884 -3.2497 S
-4.6329 -3.0698 -4.2305 S
-2.5258 -8.4393 2.5676 S
-1.5715 -4.8141 -2.6341 S
-6.2053 -3.7136 1.9520 S
-3.8201 -6.1296 -0.0524 S
-3.9568 -2.3981 -0.6297 S


Rb3Ce3GaSe8 | Alexandria | PBE | optimized geometry; D(E_F) = 14.14 states/eV/cell; uncorrected formation energy = -2042 kJ/mol of formula units; total moment = 0.54 μB/f.u.
1.0
-4.6579 2.9937 6.4674
-2.1488 -7.3276 -3.7581
7.6481 -0.1623 5.5831
Rb Ce Ga Se
3 3 1 8
Cartesian
0.0000 0.0000 0.0000 Rb
-1.0744 -3.6638 -1.8791 Rb
-3.4034 -2.1670 1.3546 Rb
1.4951 1.4157 6.0253 Ce
0.4207 -2.2481 4.1462 Ce
2.7497 -3.7449 0.9125 Ce
3.8240 -0.0811 2.7916 Ga
-0.0912 -3.1609 1.3981 Se
0.9325 -1.3353 6.8944 Se
-2.4122 -1.8080 4.7046 Se
3.2536 -2.6882 3.5879 Se
-1.2932 2.0069 6.6571 Se
2.1345 -6.5031 1.6353 Se
1.1281 0.4506 3.2948 Se
-0.2867 -4.9468 4.9976 Se


Rb2CeGaSe4 | Alexandria | PBE | optimized geometry; D(E_F) = 9.21 states/eV/cell; uncorrected formation energy = -866 kJ/mol of formula units; total moment = 0.33 μB/f.u.
1.0
-5.7067 -1.0149 6.7770
-2.2236 -7.9808 -3.2996
8.4317 1.7865 1.6795
Rb Ce Ga Se
4 2 2 8
Cartesian
-2.8534 -0.5075 3.3885 Rb
1.3625 0.3858 4.2283 Rb
4.2159 0.8932 0.8398 Rb
-3.9652 -4.4978 1.7387 Rb
-1.1118 -3.9904 -1.6498 Ce
-2.6027 -4.1120 5.9669 Ce
0.2507 -3.6046 2.5785 Ga
2.7250 0.7716 8.4565 Ga
5.3615 -4.2688 0.5802 Se
-0.5577 -2.2203 5.1660 Se
1.0591 -4.9888 -0.0090 Se
-4.8602 -2.9404 4.5768 Se
1.9761 -4.9232 4.3902 Se
-1.3555 -5.6276 3.7255 Se
1.8569 -1.5816 1.4313 Se
-1.4747 -2.2860 0.7667 Se


CeGa6Re | Alexandria | PBE | optimized geometry; ΔE_f = -118 meV/atom; D(E_F) = 4.86 states/eV/cell; total moment = 0.00 μB/f.u.
1.0
0.3922 1.1293 -5.4976
-5.3204 -0.8315 1.6293
-3.7847 5.2542 -1.5881
Ce Ga Re
1 6 1
Cartesian
-4.3564 2.7760 -2.7282 Ce
-4.4964 0.8833 -0.2846 Ga
-1.6259 1.8685 -3.8657 Ga
-7.0870 3.6834 -1.5906 Ga
-4.2165 4.6687 -5.1718 Ga
-1.9189 1.2797 -1.1860 Ga
-6.7940 4.2723 -4.2703 Ga
0.0000 0.0000 0.0000 Re


CeGaRe | Alexandria | PBE | optimized geometry; ΔE_f = 79 meV/atom; D(E_F) = 8.88 states/eV/cell; total moment = 0.00 μB/f.u.
1.0
-0.2672 2.9285 -3.9092
-4.3286 1.7624 -1.4445
-0.7456 6.4528 1.8243
Re Ce Ga
2 2 2
Cartesian
-0.9007 5.4885 1.1125 Re
-4.4407 5.6553 -4.6419 Re
-2.9622 3.7595 -3.1025 Ce
-2.3792 7.3843 -0.4269 Ce
-1.2377 3.3927 -0.4345 Ga
-4.1036 7.7510 -3.0949 Ga


Ce6Ga2Re | Alexandria | PBE | optimized geometry; ΔE_f = -194 meV/atom; D(E_F) = 23.64 states/eV/cell; total moment = 2.66 μB/f.u.
1.0
4.2725 0.0000 0.0000
0.0000 7.7250 0.0000
0.0000 -3.8625 6.9322
Ce Ga Re
6 2 1
Cartesian
2.1362 4.2602 0.0000 Ce
2.1362 1.5759 2.7914 Ce
2.1362 -2.2866 4.1409 Ce
0.0000 2.1179 0.0000 Ce
0.0000 2.9125 5.3085 Ce
0.0000 6.7750 1.6237 Ce
0.0000 0.0025 4.5236 Ga
0.0000 3.8650 2.4086 Ga
2.1362 0.0903 0.0000 Re


Ce4GaRe | Alexandria | PBE | optimized geometry; ΔE_f = -180 meV/atom; D(E_F) = 23.65 states/eV/cell; total moment = 0.00 μB/f.u.
1.0
-4.0296 -3.6231 2.3122
6.4521 -3.0344 2.6189
-1.7725 6.5812 3.3528
Ce Ga Re
8 2 2
Cartesian
-0.7809 0.3736 6.2053 Ce
5.1778 -1.0560 3.6677 Ce
-2.0757 -0.5173 3.3679 Ce
2.6117 -3.2002 3.0028 Ce
-1.9617 3.1239 5.2811 Ce
2.7257 0.4410 4.9160 Ce
-4.5278 0.9797 4.6162 Ce
1.4309 -0.4499 2.0787 Ce
0.2577 -2.0430 4.6361 Ga
0.3923 1.9667 3.6478 Ga
-2.7697 5.6636 3.9300 Re
3.4197 -5.7399 4.3540 Re


Ce3Ga2Rh7 | Alexandria | PBE | optimized geometry; ΔE_f = -681 meV/atom; D(E_F) = 13.93 states/eV/cell; total moment = 0.52 μB/f.u.
1.0
4.0935 0.0000 0.0000
0.0000 4.1603 0.0000
0.0000 -2.0801 12.9375
Ce Ga Rh
3 2 7
Cartesian
2.0468 2.0801 0.0000 Ce
2.0468 2.0801 4.5377 Ce
2.0468 0.0000 8.3998 Ce
0.0000 2.0801 9.5730 Ga
0.0000 0.0000 3.3646 Ga
0.0000 0.0000 10.9189 Rh
0.0000 2.0801 7.1673 Rh
0.0000 0.0000 0.0000 Rh
0.0000 2.0801 2.0186 Rh
2.0468 0.0000 2.0018 Rh
2.0468 2.0801 10.9357 Rh
0.0000 0.0000 5.7702 Rh


CeGaRh | Alexandria | PBE | optimized geometry; ΔE_f = -815 meV/atom; D(E_F) = 4.37 states/eV/cell; total moment = 0.00 μB/f.u.
1.0
-2.4319 -1.9807 -3.3541
5.1046 -5.4551 -0.4797
-3.4339 -3.6203 4.6276
Rh Ga Ce
4 4 4
Cartesian
3.5702 -5.3848 -0.9804 Rh
-4.3314 -5.6712 1.7742 Rh
-0.2991 -4.0456 1.0341 Rh
-0.4621 -7.0104 -0.2404 Rh
-0.0073 -1.9720 -0.4020 Ga
-2.3758 -5.3756 0.1817 Ga
1.6146 -5.6804 0.6120 Ga
-0.7539 -9.0841 1.1957 Ga
0.0200 -4.6987 -1.9551 Ce
-2.7873 -3.0539 2.2525 Ce
2.0261 -8.0022 -1.4588 Ce
-0.7812 -6.3573 2.7488 Ce